1.
First-principles (PBE) data for crystalline AlHg2Pb2 at its relaxed geometry, as listed in Alexandria.

Results
Final energy (eV/atom): -2.12
V (Å³/f.u.): 144.3
Calculated formation energy (meV/atom): 229.5
Mass density (Mg/m³): 9.70
E above lowest polymorph (eV/atom): 0.088
Total magnetic moment (μB/atom): 0.00

Cell: 7.8520 7.8520 4.6803 Å, 90.00 90.00 90.00°
Last column: nearest neighbours and their distance in Å.
Space group P4/mbm (No. 127)
Unique sites:
Al 0.0000 0.0000 0.0000 (multiplicity 2)  4 Pb 2.97
Hg 0.1517 0.3483 0.5000 (multiplicity 4)  6 Pb 3.17-3.36, 1 Hg 3.37
Pb 0.1556 0.6556 0.0000 (multiplicity 4)  2 Al 2.97, 2 Hg 3.17

---

2.
First-principles (PBE) data for crystalline AlHg2Pb2 at its relaxed geometry, as listed in Alexandria.

Results
Final energy (eV/atom): -2.21
V (Å³/f.u.): 134.8
Calculated formation energy (meV/atom): 141.4
Mass density (Mg/m³): 10.38
E above lowest polymorph (eV/atom): 0.000
Total magnetic moment (μB/atom): 0.00

Cell: 7.3200 7.3200 5.0305 Å, 90.00 90.00 90.00°
Last column: nearest neighbours and their distance in Å.
Space group P4/mbm (No. 127)
Unique sites:
Al 0.0000 0.0000 0.0000 (multiplicity 2)  4 Hg 2.81
Hg 0.1446 0.3554 0.0000 (multiplicity 4)  2 Al 2.81, 1 Hg 2.99
Pb 0.1682 0.6682 0.5000 (multiplicity 4)  6 Hg 3.18-3.41, 1 Pb 3.48

---

3.
First-principles (PBE) data for crystalline AlHg2Pb at its relaxed geometry, as listed in Alexandria.

Results
Final energy (eV/atom): -1.86
V (Å³/f.u.): 101.1
Calculated formation energy (meV/atom): 152.0
Mass density (Mg/m³): 10.44
Total magnetic moment (μB/atom): 0.00

Cell: 3.4972 4.6030 6.5061 Å, 90.00 105.22 90.00°
Last column: nearest neighbours and their distance in Å.
Space group Pm (No. 6)
Unique sites:
Al 0.0000 0.0000 0.0000 (multiplicity 1)  2 Hg 2.82
Hg 0.1233 0.5000 0.2606 (multiplicity 1)  2 Al 2.82
Hg 0.7412 0.0000 0.4914 (multiplicity 1)  3 Al 3.19-3.55, 6 Hg 3.22-3.50, 4 Pb 3.42-3.45
Pb 0.3936 0.5000 0.7867 (multiplicity 1)  4 Al 3.18-3.19, 7 Hg 3.30-3.45, 2 Pb 3.50